[1]
Computed, not measured: Li4Cd4Pd3 after structural relaxation at the PBE level of DFT.

```
data_Li4Cd4Pd3
_chemical_formula_sum 'Li4 Cd4 Pd3'
_cell_length_a 2.9338
_cell_length_b 4.4756
_cell_length_c 14.2838
_cell_angle_alpha 98.97
_cell_angle_beta 95.79
_cell_angle_gamma 90.15
_space_group_name_H-M_alt 'P -1'
_space_group_IT_number 2
loop_
_space_group_symop_operation_xyz
'x,y,z'
'-x,-y,-z'
loop_
_atom_site_label
_atom_site_type_symbol
_atom_site_fract_x
_atom_site_fract_y
_atom_site_fract_z
_atom_site_occupancy
Li1 Li 0.1143 0.1775 0.3550 1
Li2 Li 0.2603 0.4597 0.9168 1
Cd1 Cd 0.3071 0.2805 0.5620 1
Cd2 Cd 0.4587 0.9116 0.8222 1
Pd1 Pd 0.0000 0.0000 0.0000 1
Pd2 Pd 0.1217 0.6295 0.2601 1
```

***

[2]
Computed, not measured: UMnTl2Te4 after structural relaxation at the PBE level of DFT.

```
data_UMnTl2Te4
_chemical_formula_sum 'U1 Mn1 Tl2 Te4'
_cell_length_a 7.4706
_cell_length_b 4.3228
_cell_length_c 8.5599
_cell_angle_alpha 90.00
_cell_angle_beta 107.00
_cell_angle_gamma 90.00
_space_group_name_H-M_alt 'P 1 2/m 1'
_space_group_IT_number 10
loop_
_space_group_symop_operation_xyz
'x,y,z'
'-x,-y,-z'
'-x,y,-z'
'x,-y,z'
loop_
_atom_site_label
_atom_site_type_symbol
_atom_site_fract_x
_atom_site_fract_y
_atom_site_fract_z
_atom_site_occupancy
U1 U 0.0000 0.0000 0.0000 1
Mn1 Mn 0.5000 0.5000 0.0000 1
Tl1 Tl 0.0000 0.5000 0.5000 1
Tl2 Tl 0.5000 0.0000 0.5000 1
Te1 Te 0.2457 0.5000 0.2123 1
Te2 Te 0.2806 0.0000 0.8036 1
```

***

[3]
# Er3ThSc3 (PBE, relaxed)
# Polymorph energy (0 for the lowest one)   0 meV/atom
data_Er3ThSc3
_chemical_formula_sum 'Er6 Th2 Sc6'
_cell_length_a 9.1844
_cell_length_b 9.1844
_cell_length_c 5.4326
_cell_angle_alpha 90.00
_cell_angle_beta 90.00
_cell_angle_gamma 120.00
_space_group_name_H-M_alt 'P 63/m'
_space_group_IT_number 176
_space_group_name_Hall '-P 6c'
loop_
_atom_site_label
_atom_site_type_symbol
_atom_site_fract_x
_atom_site_fract_y
_atom_site_fract_z
_atom_site_occupancy
Er1 Er 0.0513 0.8070 0.2500 1
Th1 Th 0.3333 0.6667 0.2500 1
Sc1 Sc 0.0968 0.6120 0.7500 1

***

[4]
Computed, not measured: TbPrTm3Sc after structural relaxation at the PBE level of DFT.

```
data_TbPrTm3Sc
_chemical_formula_sum 'Tb4 Pr4 Tm12 Sc4'
_cell_length_a 4.9544
_cell_length_b 14.8301
_cell_length_c 9.9251
_cell_angle_alpha 90.00
_cell_angle_beta 90.00
_cell_angle_gamma 90.00
_space_group_name_H-M_alt 'C m c m'
_space_group_IT_number 63
_space_group_name_Hall '-C 2c 2'
loop_
_atom_site_label
_atom_site_type_symbol
_atom_site_fract_x
_atom_site_fract_y
_atom_site_fract_z
_atom_site_occupancy
Tb1 Tb 0.0000 0.0000 0.0000 1
Pr1 Pr 0.0000 0.4979 0.2500 1
Tm1 Tm 0.0000 0.1705 0.2500 1
Tm2 Tm 0.0000 0.3311 0.9997 1
Sc1 Sc 0.0000 0.1690 0.7500 1
```

***

[5]
# AgRu3F (PBE, relaxed)
# Polymorph energy (0 for the lowest one)   0 meV/atom
data_AgRu3F
_chemical_formula_sum 'Ag1 Ru3 F1'
_cell_length_a 4.2581
_cell_length_b 4.2581
_cell_length_c 4.2581
_cell_angle_alpha 90.00
_cell_angle_beta 90.00
_cell_angle_gamma 90.00
_space_group_name_H-M_alt 'P m -3 m'
_space_group_IT_number 221
_space_group_name_Hall '-P 4 2 3'
loop_
_atom_site_label
_atom_site_type_symbol
_atom_site_fract_x
_atom_site_fract_y
_atom_site_fract_z
_atom_site_occupancy
Ag1 Ag 0.0000 0.0000 0.0000 1
Ru1 Ru 0.0000 0.5000 0.5000 1
F1 F 0.5000 0.5000 0.5000 1

***

[6]
# MnTlW (PBE, relaxed)
# Polymorph energy (0 for the lowest one)   47 meV/atom
data_MnTlW
_chemical_formula_sum 'Mn4 Tl4 W4'
_cell_length_a 3.2161
_cell_length_b 4.8608
_cell_length_c 13.6197
_cell_angle_alpha 90.00
_cell_angle_beta 90.00
_cell_angle_gamma 90.00
_space_group_name_H-M_alt 'F m m 2'
_space_group_IT_number 42
_space_group_name_Hall 'F 2 -2'
loop_
_atom_site_label
_atom_site_type_symbol
_atom_site_fract_x
_atom_site_fract_y
_atom_site_fract_z
_atom_site_occupancy
Mn1 Mn 0.0000 0.0000 0.0000 1
Tl1 Tl 0.0000 0.0000 0.6747 1
W1 W 0.0000 0.0000 0.3628 1

***

[7]
# K2FeW (PBE, relaxed)
# Polymorph energy (0 for the lowest one)   29 meV/atom
data_K2FeW
_chemical_formula_sum 'K4 Fe2 W2'
_cell_length_a 3.0829
_cell_length_b 3.6940
_cell_length_c 20.7273
_cell_angle_alpha 90.00
_cell_angle_beta 90.00
_cell_angle_gamma 90.00
_space_group_name_H-M_alt 'I m m m'
_space_group_IT_number 71
_space_group_name_Hall '-I 2 2'
loop_
_atom_site_label
_atom_site_type_symbol
_atom_site_fract_x
_atom_site_fract_y
_atom_site_fract_z
_atom_site_occupancy
K1 K 0.0000 0.0000 0.1469 1
Fe1 Fe 0.0000 0.5000 0.5000 1
W1 W 0.0000 0.5000 0.0000 1

***

[8]
# LaAs2PbBr (PBE, relaxed)
# Polymorph energy (0 for the lowest one)   0 meV/atom
data_LaAs2PbBr
_chemical_formula_sum 'La1 As2 Pb1 Br1'
_cell_length_a 5.7055
_cell_length_b 5.7055
_cell_length_c 5.6751
_cell_angle_alpha 90.00
_cell_angle_beta 90.00
_cell_angle_gamma 90.00
_space_group_name_H-M_alt 'P 4/m m m'
_space_group_IT_number 123
_space_group_name_Hall '-P 4 2'
loop_
_atom_site_label
_atom_site_type_symbol
_atom_site_fract_x
_atom_site_fract_y
_atom_site_fract_z
_atom_site_occupancy
La1 La 0.0000 0.0000 0.0000 1
As1 As 0.0000 0.5000 0.0000 1
Pb1 Pb 0.5000 0.5000 0.5000 1
Br1 Br 0.0000 0.0000 0.5000 1

***

[9]
Computed, not measured: La2Zn2GeRh5 after structural relaxation at the PBE level of DFT.

```
data_La2Zn2GeRh5
_chemical_formula_sum 'La4 Zn4 Ge2 Rh10'
_cell_length_a 9.8843
_cell_length_b 9.8843
_cell_length_c 3.5914
_cell_angle_alpha 90.00
_cell_angle_beta 90.00
_cell_angle_gamma 90.00
_space_group_name_H-M_alt 'P 4/m b m'
_space_group_IT_number 127
_space_group_name_Hall '-P 4 2ab'
loop_
_atom_site_label
_atom_site_type_symbol
_atom_site_fract_x
_atom_site_fract_y
_atom_site_fract_z
_atom_site_occupancy
La1 La 0.1744 0.3256 0.0000 1
Zn1 Zn 0.1251 0.6251 0.0000 1
Ge1 Ge 0.0000 0.0000 0.0000 1
Rh1 Rh 0.0000 0.5000 0.5000 1
Rh2 Rh 0.0612 0.8007 0.5000 1
```

***

[10]
Computed, not measured: Zr2ZnAu3 after structural relaxation at the PBE level of DFT.

```
data_Zr2ZnAu3
_chemical_formula_sum 'Zr16 Zn8 Au24'
_cell_length_a 5.8076
_cell_length_b 9.3726
_cell_length_c 16.2163
_cell_angle_alpha 90.00
_cell_angle_beta 90.00
_cell_angle_gamma 90.00
_space_group_name_H-M_alt 'F m m m'
_space_group_IT_number 69
_space_group_name_Hall '-F 2 2'
loop_
_atom_site_label
_atom_site_type_symbol
_atom_site_fract_x
_atom_site_fract_y
_atom_site_fract_z
_atom_site_occupancy
Zr1 Zr 0.2482 0.0000 0.0000 1
Zr2 Zr 0.2500 0.2500 0.2500 1
Zn1 Zn 0.0000 0.0000 0.3333 1
Au1 Au 0.0000 0.0000 0.1712 1
Au2 Au 0.0000 0.2418 0.4142 1
```

***

DOS(E_F), record by record: 3.050 4.527 23.596 36.053 5.442 7.403 7.415 5.376 11.407 13.598 states/eV per cell
Final energy, record by record: -2.81 -5.11 -5.70 -4.82 -5.45 -7.49 -4.97 -4.05 -5.94 -5.22 eV/atom
Density, record by record: 7.178 7.614 7.269 7.757 9.250 13.825 4.473 5.176 9.425 12.623 Mg/m³